# 1
A plane-wave DFT calculation with PBE was carried out for HoTlNi2 after structural relaxation.

Calculated values
Energy of formation from the pure elements in eV/atom: -0.204

a = 4.619 Å, b = 4.619 Å, c = 4.619 Å
α = 60.00°, β = 60.00°, γ = 60.00°
Element x y z (fractional)
Tl: 0.500 0.500 0.500
Ni: 0.750 0.750 0.750
Ni: 0.250 0.250 0.250
Ho: 0.000 0.000 0.000

=====

# 2
A plane-wave DFT calculation with PBE was carried out for Sr2TcSe after structural relaxation.

Calculated values
Energy relative to the elements, uncorrected in kJ/mol of atoms: -15

a = 6.944 Å, b = 6.944 Å, c = 6.944 Å
α = 149.21°, β = 138.49°, γ = 52.57°
Element x y z (fractional)
Sr: 0.003 0.003 0.000
Sr: 0.277 0.777 0.500
Tc: 0.541 0.541 0.000
Se: 0.678 0.178 0.500

=====

# 3
A plane-wave DFT calculation with PBE was carried out for CaZnF3 after structural relaxation.

Calculated values
Relative energy among the computed polymorphs in eV/f.u.: 0.00
Energy relative to the elements, uncorrected in kJ/mol of atoms: -243

a = 4.428 Å, b = 4.428 Å, c = 4.428 Å
α = 90.00°, β = 90.00°, γ = 90.00°
Element x y z (fractional)
F: 0.000 0.000 0.500
F: 0.500 0.000 0.000
F: 0.000 0.500 0.000
Ca: 0.000 0.000 0.000
Zn: 0.500 0.500 0.500

=====

M_tot values, unit μB/f.u., following the record order: 0.0 1.0 0.8.